The following is a DFT calculation (PBE-GGA) of a relaxed structure of K4Sm3PtO8.

abc: 6.910 7.400 7.099
angles: 117.28 119.12 90.00
Each line ends with the local moment (μB).
Positions (direct):
K (0.000, 0.000, 0.000)  0.00
O (0.263, 0.722, 0.525)  0.18
K (0.500, 0.000, 0.500)  0.00
O (0.249, 0.323, 0.043)  0.01
Sm (0.000, 0.500, 0.500)  -0.01
K (0.500, 0.000, 0.000)  0.01
O (0.276, 0.311, 0.553)  0.00
K (0.000, 0.000, 0.500)  0.00
Pt (0.000, 0.500, 0.000)  0.54
O (0.751, 0.677, 0.957)  0.01
Sm (0.500, 0.500, 0.500)  -0.01
O (0.737, 0.278, 0.475)  0.18
O (0.206, 0.677, 0.957)  0.01
Sm (0.500, 0.500, 0.000)  0.00
O (0.794, 0.323, 0.043)  0.01
O (0.724, 0.689, 0.447)  0.00

Computed properties:
* E: -6.155 eV/atom
* space group: C2/m (12)
* formation energy without anion corrections: -34.2 eV per formula unit
* size of the total moment: 1.03 μB/cell

***

The following is a DFT calculation (PBE-GGA) of a relaxed structure of K2Sm2PtO6.

abc: 5.909 5.909 6.615
angles: 97.40 97.40 119.55
Positions (direct):
O (0.955, 0.647, 0.326)
O (0.353, 0.045, 0.674)
Sm (0.336, 0.664, 0.500)
O (0.647, 0.955, 0.326)
O (0.246, 0.246, 0.321)
K (0.844, 0.156, 0.000)
O (0.045, 0.353, 0.674)
Pt (0.000, 0.000, 0.500)
O (0.754, 0.754, 0.679)
Sm (0.664, 0.336, 0.500)
K (0.156, 0.844, 0.000)

Computed properties:
* E: -6.371 eV/atom
* space group: C2/m (12)
* formation energy without anion corrections: -22.7 eV per formula unit
* size of the total moment: 0.00 μB/cell

***

The following is a DFT calculation (PBE-GGA) of a relaxed structure of K3Sm2PtO6.

abc: 6.033 6.033 6.543
angles: 98.36 98.36 120.45
Each line ends with the local moment (μB).
Positions (direct):
K (0.500, 0.500, 0.500)  0.00
K (0.159, 0.841, 0.500)  0.00
O (0.599, 0.934, 0.799)  0.09
Sm (0.670, 0.330, 0.000)  0.00
O (0.934, 0.599, 0.799)  0.09
Pt (0.000, 0.000, 0.000)  0.58
O (0.753, 0.753, 0.176)  -0.01
O (0.066, 0.401, 0.201)  0.09
O (0.247, 0.247, 0.824)  -0.01
O (0.401, 0.066, 0.201)  0.09
Sm (0.330, 0.670, 0.000)  0.00
K (0.841, 0.159, 0.500)  0.00

Computed properties:
* E: -5.995 eV/atom
* space group: C2/m (12)
* formation energy without anion corrections: -23.4 eV per formula unit
* size of the total moment: 1.00 μB/cell

***

The following is a DFT calculation (PBE-GGA) of a relaxed structure of K2SmPtO4.

abc: 3.378 6.051 6.767
angles: 111.01 90.00 90.00
Each line ends with the local moment (μB).
Positions (direct):
O (0.500, 0.804, 0.836)  0.02
Sm (0.500, 0.500, 0.000)  -0.02
O (0.500, 0.196, 0.164)  0.02
K (0.000, 0.500, 0.500)  0.01
O (0.000, 0.705, 0.224)  0.19
O (0.000, 0.295, 0.776)  0.19
Pt (0.000, 0.000, 0.000)  0.52
K (0.500, 0.000, 0.500)  0.00

Computed properties:
* E: -5.734 eV/atom
* space group: P2/m (10)
* formation energy without anion corrections: -13.1 eV per formula unit
* size of the total moment: 1.05 μB/cell